1.
Entry from Alexandria: an optimized crystal structure of TbAlTl2S4 (PBE).

Cell lengths 8.1594, 8.1594, 8.4123 Å; angles 121.03, 121.03, 90.09 degrees
Last column: nearest neighbours and their distance in Å.
Sites, in units of the cell vectors:
1 Tb 0.0000 0.5000 0.0000  6 S 2.78-2.81
2 Tb 0.0000 0.5000 0.5000  6 S 2.78-2.81
3 Al 0.5000 0.5000 0.5000  6 S 2.54-2.57
4 Al 0.0000 0.0000 0.0000  6 S 2.54-2.57
5 Tl 0.5000 0.0000 0.0000  6 S 3.04
6 Tl 0.5000 0.0000 0.5000  6 S 3.04
7 Tl 0.0000 0.0000 0.5000  6 S 3.24-3.25
8 Tl 0.5000 0.5000 0.0000  6 S 3.24-3.25
9 S 0.1948 0.7560 0.9754  1 Al 2.54, 2 Tb 2.78
10 S 0.7440 0.3052 0.5246  1 Al 2.54, 2 Tb 2.78
11 S 0.2560 0.6948 0.4754  1 Al 2.54, 2 Tb 2.78
12 S 0.8052 0.2440 0.0246  1 Al 2.54, 2 Tb 2.78
13 S 0.7602 0.7400 0.9452  2 Al 2.57, 1 Tb 2.81
14 S 0.7600 0.7398 0.5548  2 Al 2.57, 1 Tb 2.81
15 S 0.2400 0.2602 0.4452  2 Al 2.57, 1 Tb 2.81
16 S 0.2398 0.2600 0.0548  2 Al 2.57, 1 Tb 2.81

## Properties
Total moment: 0.00 μB/cell
Formation energy without anion corrections: -0.984 eV/atom

---

2.
Entry from Alexandria: an optimized crystal structure of Li2TaIn (PBE).

Cell lengths 5.1545, 5.1545, 5.1545 Å; angles 132.69, 132.69, 69.14 degrees
Last column: nearest neighbours and their distance in Å.
Sites, in units of the cell vectors:
1 In 0.7500 0.2500 0.5000  4 Ta 2.92, 8 Li 2.96
2 Li 0.0000 0.0000 0.0000  4 Li 2.92, 4 Ta 2.96, 4 In 2.96
3 Li 0.5000 0.5000 0.0000  4 Li 2.92, 4 In 2.96, 4 Ta 2.96
4 Ta 0.2500 0.7500 0.5000  4 In 2.92, 8 Li 2.96

## Properties
Energy of formation from the pure elements: 0.409 eV/atom
Total moment: 1.91 μB/cell